Entry 1:
A plane-wave DFT calculation with PBE-GGA was carried out for a geometry-optimized As2OsBrO structure.

Output
Its crystal system is tetragonal. The value obtained for the formation energy without anion corrections is 440 kJ/mol of formula units. For the density of states at the Fermi level, the calculation gives 4.7 states/eV/cell. Its space-group type is P4/mmm, No. 123. The energy relative to the lowest polymorph listed for this composition is 0.0 kJ per mole of atoms. The total energy is -0.3323 Ry per atom.

```
5
Lattice="-3.4795 3.0376 0.7720 -2.7527 -3.5133 1.4176 1.7394 0.6957 5.1018" Properties=species:S:1:pos:R:3 pbc="T T T"
As -1.3763 -1.7567 0.7088
O -2.2464 0.1100 3.6457
Br 0.8697 0.3479 2.5509
As -1.7397 1.5188 0.3860
Os 0.0000 0.0000 0.0000
```



Entry 2:
A plane-wave DFT calculation with PBE-GGA was carried out for a geometry-optimized TmTlAgI5 structure.

Output
Its crystal system is monoclinic. The value obtained for the formation energy without anion corrections is -681 kJ/mol of formula units. For the density of states at the Fermi level, the calculation gives 0.0 states/eV/cell. Its space-group type is C2/c, No. 15. The total energy is -0.2251 Ry per atom.

```
16
Lattice="-1.6542 7.1538 4.0554 0.0960 -6.2859 5.5532 10.8796 1.1333 -2.5442" Properties=species:S:1:pos:R:3 pbc="T T T"
I 9.6339 -2.7834 1.7775
Tl 2.1656 -1.0092 4.3606
I 6.6546 6.8585 2.2748
Ag 1.6088 3.2667 3.8841
I -0.0676 1.2173 2.7563
I 2.6668 -4.8573 4.7895
I -0.3126 4.7846 5.2868
I 5.6048 -0.0014 1.6832
I 6.1991 -2.8792 4.9320
Tm 0.0000 0.0000 0.0000
I 3.7166 2.0026 5.3811
Tm 5.4398 0.5666 -1.2721
Tl 7.1558 3.0104 2.7037
I 9.3889 0.7839 4.3080
I 3.1223 4.8804 2.1323
Ag 7.7126 -1.2655 3.1802
```



Entry 3:
A plane-wave DFT calculation with PBE-GGA was carried out for a geometry-optimized LaNdErPb structure.

Output
Its crystal system is cubic. For the energy of formation, the calculation gives -0.165 eV per atom. For the density of states at the Fermi level, the calculation gives 7.2 states/eV/cell. Its space-group type is F-43m, No. 216. The total energy is -0.3423 Ry per atom.

```
4
Lattice="5.6359 0.0000 0.0000 2.8180 4.8809 0.0000 2.8180 1.6270 4.6017" Properties=species:S:1:pos:R:3 pbc="T T T"
Pb 2.8180 1.6270 1.1504
Nd 5.6359 3.2539 2.3009
Er 8.4539 4.8809 3.4513
La 0.0000 0.0000 0.0000
```



Entry 4:
A plane-wave DFT calculation with PBE-GGA was carried out for a geometry-optimized PrNi3As2 structure.

Output
Its crystal system is monoclinic. For the energy of formation, the calculation gives -0.654 eV per atom. For the density of states at the Fermi level, the calculation gives 10.9 states/eV/cell. Its space-group type is C2/m, No. 12. The total energy is -0.4330 Ry per atom.

```
12
Lattice="-0.3915 3.8211 0.9049 0.8164 -3.5787 6.8604 6.2181 1.4252 -3.3281" Properties=species:S:1:pos:R:3 pbc="T T T"
As 4.4501 0.3311 0.5272
Pr 6.0273 2.0692 2.4747
As 2.1930 1.3365 3.9099
Ni 2.8227 1.9237 1.7028
Ni 3.8203 -0.2561 2.7344
As 5.5588 -0.4539 4.3216
Ni 2.4322 0.4094 -0.6765
Pr 0.6157 -0.4017 1.9625
Ni 4.0514 2.5446 -0.3875
As 1.0842 2.1215 0.1155
Ni 2.5916 -0.8770 4.8247
Ni 4.2108 1.2582 5.1136
```



Entry 5:
A plane-wave DFT calculation with PBE-GGA was carried out for a geometry-optimized InCoBIr2 structure.

Output
Its crystal system is tetragonal. For the energy of formation, the calculation gives -0.112 eV per atom. For the density of states at the Fermi level, the calculation gives 2.7 states/eV/cell. Its space-group type is P4/mmm, No. 123. The total energy is -0.5116 Ry per atom.

```
5
Lattice="-0.3550 -3.7603 1.7140 1.1194 -1.7435 -3.5931 3.8336 0.1494 1.1218" Properties=species:S:1:pos:R:3 pbc="T T T"
Co 1.9168 0.0747 0.5609
B 0.0000 0.0000 0.0000
In 2.2990 -2.6772 -0.3786
Ir -0.1775 -1.8801 0.8570
Ir 0.5597 -0.8718 -1.7966
```



Entry 6:
A plane-wave DFT calculation with PBE-GGA was carried out for a geometry-optimized CdAsSe2F structure.

Output
Its crystal system is tetragonal. The value obtained for the formation energy without anion corrections is 308 kJ/mol of formula units. For the density of states at the Fermi level, the calculation gives 7.5 states/eV/cell. Its space-group type is P4/mmm, No. 123. The energy relative to the lowest polymorph listed for this composition is 44.9 kJ per mole of atoms. The total energy is -0.1648 Ry per atom.

```
5
Lattice="5.1456 0.0000 0.0000 0.0000 5.1456 0.0000 0.0000 0.0000 5.2853" Properties=species:S:1:pos:R:3 pbc="T T T"
F 2.5728 2.5728 2.6426
Cd 0.0000 0.0000 0.0000
As 0.0000 0.0000 2.6426
Se 2.5728 0.0000 0.0000
Se 0.0000 2.5728 0.0000
```



Entry 7:
A plane-wave DFT calculation with PBE-GGA was carried out for a geometry-optimized BaTlGa structure.

Output
Its crystal system is triclinic. For the energy of formation, the calculation gives -0.386 eV per atom. For the density of states at the Fermi level, the calculation gives 4.7 states/eV/cell. Its space-group type is P-1, No. 2. The total energy is -0.2076 Ry per atom.

```
6
Lattice="9.2005 -0.0187 0.0451 -1.0312 4.3161 0.0027 1.4711 0.3458 5.0267" Properties=species:S:1:pos:R:3 pbc="T T T"
Ga 8.9162 1.3431 3.3635
Tl 2.9839 4.3404 2.1923
Ba 6.3959 3.0297 1.2801
Ga 0.3044 3.7865 3.0456
Ba 1.3545 1.7522 0.1062
Tl 6.2388 0.7867 4.2231
```